{"formula": "PtAu2I", "functional": "PBE", "state": "relaxed", "raw_formation_energy_ev_per_atom": 0.59, "dft_energy_ev_per_atom": -2.946, "de_polymorph_ev_per_fu": 0.724, "n_ef_per_ev_cell": 4.7, "cell": [[0.0000, 3.4465, 3.4465], [3.4465, 0.0000, 3.4465], [3.4465, 3.4465, 0.0000]], "species": ["Pt", "Au", "Au", "I"], "fractional_positions": [[0.0000, 0.0000, 0.0000], [0.2500, 0.2500, 0.2500], [0.7500, 0.7500, 0.7500], [0.5000, 0.5000, 0.5000]]}

=====

{"formula": "Pt3AuI", "functional": "PBE", "state": "relaxed", "raw_formation_energy_ev_per_atom": 1.19, "dft_energy_ev_per_atom": -3.395, "de_polymorph_ev_per_fu": 0.000, "n_ef_per_ev_cell": 1.0, "cell": [[4.9465, 0.0000, 0.0000], [0.0000, 4.9465, 0.0000], [0.0000, 0.0000, 4.9465]], "species": ["Pt", "Pt", "Pt", "Au", "I"], "fractional_positions": [[0.0000, 0.0000, 0.5000], [0.0000, 0.5000, 0.0000], [0.5000, 0.0000, 0.0000], [0.5000, 0.5000, 0.5000], [0.0000, 0.0000, 0.0000]]}

=====

{"formula": "SbPtAuI2", "functional": "PBE", "state": "relaxed", "raw_formation_energy_ev_per_atom": 0.50, "dft_energy_ev_per_atom": -2.808, "de_polymorph_ev_per_fu": 0.000, "n_ef_per_ev_cell": 2.4, "cell": [[5.5940, 0.0000, 0.0000], [0.0000, 5.5940, 0.0000], [0.0000, 0.0000, 5.1209]], "species": ["Sb", "Pt", "Au", "I", "I"], "fractional_positions": [[0.0000, 0.0000, 0.0000], [0.0000, 0.0000, 0.5000], [0.5000, 0.5000, 0.0000], [0.0000, 0.5000, 0.5000], [0.5000, 0.0000, 0.5000]]}